The following is a DFT calculation (PBE+U) of crystalline LiCoPO4 at its relaxed geometry.

magnetic moment = 12.01 Bohr magnetons per cell
total DFT energy (no corrections) = -0.244 Ha/atom

a b c (Å): 5.0987 8.6580 8.5145
angles (deg): 107.62 90.00 90.00
With the nearest neighbours (Å) after each atom.
Atoms (fractional coordinates):
Li 0.1763 0.9867 0.6123  4 O 1.96-2.03
Li 0.6821 0.4947 0.7432  4 O 1.95-2.02
Li 0.3179 0.4947 0.2432  4 O 1.95-2.02
Li 0.8237 0.9867 0.1123  4 O 1.96-2.03
O 0.1910 0.7143 0.2727  1 P 1.56
O 0.3873 0.8418 0.7096  1 P 1.55
O 0.1822 0.8911 0.0815  1 P 1.55
O 0.2491 0.0134 0.3880  1 P 1.55
O 0.6759 0.3456 0.5110  1 P 1.56
O 0.7508 0.0134 0.8881  1 P 1.55
O 0.7487 0.2192 0.2049  1 P 1.55
O 0.6127 0.8418 0.2097  1 P 1.55
O 0.8178 0.8911 0.5815  1 P 1.55
O 0.8090 0.7143 0.7727  1 P 1.56
O 0.2513 0.2192 0.7049  1 P 1.55
O 0.6955 0.5190 0.3160  1 P 1.56
O 0.1112 0.3894 0.3858  1 P 1.56
O 0.8888 0.3894 0.8858  1 P 1.56
O 0.3045 0.5190 0.8160  1 P 1.56
O 0.3241 0.3456 0.0110  1 P 1.55
Co 0.1804 0.7426 0.8536  4 O 1.97-2.00
Co 0.6795 0.2470 0.9828  4 O 1.97-2.01
Co 0.8196 0.7426 0.3536  4 O 1.97-2.00
Co 0.3206 0.2470 0.4828  4 O 1.97-2.01
P 0.8107 0.3685 0.3557  4 O 1.55-1.56
P 0.3122 0.8655 0.2367  4 O 1.55-1.56
P 0.6878 0.8655 0.7367  4 O 1.55-1.56
P 0.1893 0.3685 0.8557  4 O 1.55-1.56